# NaLiTmPb

A relaxed NaLiTmPb crystal (PBE, Alexandria via LeMat-Bulk).

The structure in extended XYZ format:
```
4
Lattice="-0.462 -3.645 -3.732 4.079 -1.117 -3.088 2.481 -4.585 0.496" Properties=species:S:1:pos:R:3 pbc="T T T"
Na 4.574 -7.010 -4.742
Li 0.000 0.000 0.000
Pb 3.049 -4.674 -3.162
Tm 1.525 -2.337 -1.581
```

Output
crystal system: cubic
total energy: -2.9916 eV/atom
space-group type: F-43m (216)
total moment: 0.00 μB per cell